1.
Below is crystalline NpCdSnSb at its relaxed geometry, with properties calculated at the GGA-PBE level.

Cell lengths 4.3097, 4.6753, 4.9324 Å; angles 90.00, 90.00, 90.00 degrees
Last column: nearest neighbours and their distance in Å.
Space group Pmmm (No. 47)
Inequivalent atoms, fractional coordinates:
Np  0.0000  0.0000  0.0000 [1 per cell]  4 Sb 3.18, 4 Sn 3.27, 4 Cd 3.40
Cd  0.0000  0.5000  0.5000 [1 per cell]  4 Sn 3.18, 4 Sb 3.27, 4 Np 3.40
Sn  0.5000  0.0000  0.5000 [1 per cell]  4 Cd 3.18, 4 Np 3.27, 4 Sb 3.40
Sb  0.5000  0.5000  0.0000 [1 per cell]  4 Np 3.18, 4 Cd 3.27, 4 Sn 3.40

Results
volume = 99.4 Å³ per cell
formation energy (no corrections) = -141 meV/atom
energy = -22.5 eV/cell

=====

2.
Below is crystalline KFe2Ni at its relaxed geometry, with properties calculated at the GGA-PBE level.

Cell lengths 2.6567, 3.6323, 7.6164 Å; angles 90.00, 93.62, 90.00 degrees
Last column: nearest neighbours and their distance in Å.
Space group P2/m (No. 10)
Inequivalent atoms, fractional coordinates:
K  0.0000  0.0000  0.0000 [1 per cell]  2 K 2.66
Fe  0.4738  0.5000  0.3506 [2 per cell]  1 Fe 2.27, 4 Ni 2.52
Ni  0.0000  0.0000  0.5000 [1 per cell]  8 Fe 2.52, 2 Ni 2.66

Results
volume = 73.4 Å³ per cell
relative energy among the computed polymorphs = 43.9 meV/atom
energy = -21.3 eV/cell
energy of formation from the pure elements = 0.628 eV/atom

=====

3.
Below is crystalline HfZrPt3 at its relaxed geometry, with properties calculated at the GGA-PBE level.

Cell lengths 4.8626, 4.8626, 4.8626 Å; angles 90.00, 90.00, 90.00 degrees
Last column: nearest neighbours and their distance in Å.
Space group Pm-3m (No. 221)
Inequivalent atoms, fractional coordinates:
Hf  0.0000  0.0000  0.0000 [1 per cell]  6 Pt 2.43
Zr  0.5000  0.5000  0.5000 [1 per cell]  12 Pt 3.44
Pt  0.0000  0.0000  0.5000 [3 per cell]  2 Hf 2.43

Results
volume = 115.0 Å³ per cell
relative energy among the computed polymorphs = 973.3 meV/atom
energy = -35.4 eV/cell
energy of formation from the pure elements = 0.251 eV/atom

=====

4.
Below is crystalline LaHg2Mo at its relaxed geometry, with properties calculated at the GGA-PBE level.

Cell lengths 3.2922, 3.8629, 7.5928 Å; angles 90.00, 90.00, 90.00 degrees
Last column: nearest neighbours and their distance in Å.
Space group Pmm2 (No. 25)
Inequivalent atoms, fractional coordinates:
La  0.0000  0.0000  0.0000 [1 per cell]  4 Mo 3.23, 2 La 3.29, 5 Hg 3.32-3.48
Hg  0.0000  0.0000  0.4375 [1 per cell]  4 Mo 2.86, 4 Hg 3.17
Hg  0.5000  0.5000  0.6869 [1 per cell]  6 Hg 3.17-3.29, 1 Mo 3.22, 4 La 3.48
Mo  0.5000  0.5000  0.2630 [1 per cell]  4 Hg 2.86

Results
volume = 96.6 Å³ per cell
relative energy among the computed polymorphs = 85.3 meV/atom
energy = -15.1 eV/cell
energy of formation from the pure elements = 0.328 eV/atom

=====

5.
Below is crystalline ZrCrBi2C at its relaxed geometry, with properties calculated at the GGA-PBE level.

Cell lengths 5.4231, 5.4231, 3.6838 Å; angles 90.00, 90.00, 90.00 degrees
Last column: nearest neighbours and their distance in Å.
Space group P4/mmm (No. 123)
Inequivalent atoms, fractional coordinates:
Zr  0.0000  0.0000  0.0000 [1 per cell]  8 Bi 3.28
Cr  0.5000  0.5000  0.5000 [1 per cell]  2 C 1.84
Bi  0.0000  0.5000  0.5000 [2 per cell]  2 Cr 2.71
C  0.5000  0.5000  0.0000 [1 per cell]  2 Cr 1.84

Results
volume = 108.3 Å³ per cell
energy = -31.3 eV/cell
energy of formation from the pure elements = 0.772 eV/atom

=====

6.
Below is crystalline Mn2ZnPt at its relaxed geometry, with properties calculated at the GGA-PBE level.

Cell lengths 6.1048, 6.1048, 6.1048 Å; angles 90.00, 90.00, 90.00 degrees
Last column: nearest neighbours and their distance in Å.
Space group F-43m (No. 216)
Inequivalent atoms, fractional coordinates:
Mn  0.0000  0.0000  0.0000 [4 per cell]  4 Pt 2.64, 4 Mn 2.64
Mn  0.2500  0.2500  0.2500 [4 per cell]  4 Mn 2.64, 4 Zn 2.64
Zn  0.0000  0.0000  0.5000 [4 per cell]  4 Mn 2.64, 4 Pt 2.64
Pt  0.2500  0.2500  0.7500 [4 per cell]  4 Mn 2.64, 4 Zn 2.64

Results
volume = 227.5 Å³ per cell
energy = -106.4 eV/cell
energy of formation from the pure elements = -0.235 eV/atom

=====

7.
Below is crystalline Tb3Pr8Y3 at its relaxed geometry, with properties calculated at the GGA-PBE level.

Cell lengths 5.7438, 11.0166, 15.3664 Å; angles 90.00, 90.00, 90.00 degrees
Last column: nearest neighbours and their distance in Å.
Space group Immm (No. 71)
Inequivalent atoms, fractional coordinates:
Tb  0.0000  0.0000  0.0000 [2 per cell]  4 Y 3.59, 4 Tb 4.00
Tb  0.0000  0.5000  0.3192 [4 per cell]  2 Y 3.51, 8 Pr 3.65-3.83
Pr  0.0000  0.1575  0.2749 [8 per cell]  6 Pr 3.29-3.60, 2 Tb 3.65
Pr  0.0000  0.3367  0.1040 [8 per cell]  4 Pr 3.20-3.42
Y  0.0000  0.0000  0.5000 [2 per cell]  2 Y 3.36, 8 Pr 3.75
Y  0.0000  0.3049  0.5000 [4 per cell]  1 Y 3.36, 4 Tb 3.51-3.59, 4 Pr 3.64

Results
volume = 972.3 Å³ per cell
energy = -140.1 eV/cell
energy of formation from the pure elements = 0.105 eV/atom

=====

8.
Below is crystalline Ho6Cu2Pb at its relaxed geometry, with properties calculated at the GGA-PBE level.

Cell lengths 9.3515, 9.8318, 10.3415 Å; angles 90.00, 90.00, 90.00 degrees
Last column: nearest neighbours and their distance in Å.
Space group Immm (No. 71)
Inequivalent atoms, fractional coordinates:
Ho  0.0000  0.2029  0.2345 [8 per cell]  1 Cu 2.83, 1 Pb 3.14
Ho  0.1914  0.5000  0.1793 [8 per cell]  3 Cu 2.75-2.96
Ho  0.2125  0.3137  0.5000 [8 per cell]  3 Cu 2.97-3.14, 1 Pb 3.25
Cu  0.0000  0.3522  0.0000 [4 per cell]  8 Ho 2.83-3.14, 1 Cu 2.91
Cu  0.0000  0.5000  0.3813 [4 per cell]  1 Cu 2.46, 2 Ho 2.75
Pb  0.0000  0.0000  0.0000 [2 per cell]  8 Ho 3.14-3.25, 2 Cu 3.46
Pb  0.0000  0.0000  0.5000 [2 per cell]  12 Ho 3.39-3.67

Results
volume = 950.8 Å³ per cell
energy = -166.2 eV/cell
energy of formation from the pure elements = -0.243 eV/atom

=====

Number 1: magnetization 4.07 μB/f.u.. Number 2: magnetization 6.24 μB/f.u.. Number 3: magnetization 0.00 μB/f.u.. Number 4: magnetization 0.00 μB/f.u.. Number 5: magnetization 1.27 μB/f.u.. Number 6: magnetization 0.44 μB/f.u.. Number 7: magnetization 0.00 μB/f.u.. Number 8: magnetization 0.00 μB/f.u..